No. 1
The following is a PBE calculation of a relaxed PrEuPb crystal, from Alexandria.

- Space group: No. 107
- DFT formation energy: -33 kJ per mole of atoms
- Size of the total moment: 2.746 μB per atom
- Calculated volume: 32.33 Å³/atom

abc: 4.310 4.310 6.045
angles: 110.88 110.88 90.00
Last column: magnetic moment on the atom in μB.
Atoms (fractional coordinates):
1 Eu 0.606 0.606 0.212  -7.01
2 Pr 0.297 0.297 0.594  -0.36
3 Pb 0.947 0.947 0.894  0.05

No. 2
The following is a PBE calculation of a relaxed Li4CeHo3Se8 crystal, from Alexandria.

- Space group: No. 166
- Size of the total moment: 0.060 μB per atom
- ΔE_f (raw): -26.67 eV per formula unit
- Calculated volume: 23.58 Å³/atom

abc: 8.189 8.039 8.187
angles: 120.65 120.01 90.00
Last column: magnetic moment on the atom in μB.
Atoms (fractional coordinates):
1 Se 0.744 0.755 0.000  -0.01
2 Se 0.256 0.245 0.000  -0.01
3 Se 0.249 0.249 0.499  0.00
4 Se 0.751 0.751 0.501  0.00
5 Se 0.256 0.755 0.511  -0.01
6 Se 0.744 0.245 0.489  -0.01
7 Se 0.256 0.755 0.000  -0.01
8 Se 0.744 0.245 0.000  -0.01
9 Li 0.500 0.000 0.500  0.00
10 Li 0.000 0.000 0.000  0.00
11 Li 0.500 0.000 0.000  0.00
12 Li 0.000 0.000 0.500  0.00
13 Ho 0.000 0.500 0.500  0.01
14 Ho 0.500 0.500 0.500  0.01
15 Ho 0.500 0.500 0.000  0.01
16 Ce 0.000 0.500 0.000  0.90

No. 3
The following is a PBE calculation of a relaxed LiLa2Zr2 crystal, from Alexandria.

- Space group: No. 127
- DFT formation energy: 32 kJ per mole of atoms
- Size of the total moment: 0.000 μB per atom
- Calculated volume: 28.08 Å³/atom

abc: 7.353 7.353 5.194
angles: 90.00 90.00 90.00
Atoms (fractional coordinates):
1 La 0.169 0.669 0.500
2 La 0.831 0.331 0.500
3 La 0.669 0.831 0.500
4 La 0.331 0.169 0.500
5 Zr 0.365 0.865 0.000
6 Zr 0.865 0.635 0.000
7 Zr 0.635 0.135 0.000
8 Zr 0.135 0.365 0.000
9 Li 0.000 0.000 0.000
10 Li 0.500 0.500 0.000

No. 4
The following is a PBE calculation of a relaxed AcMgRh crystal, from Alexandria.

- Space group: No. 129
- DFT formation energy: -54 kJ per mole of atoms
- Size of the total moment: 0.000 μB per atom
- Calculated volume: 24.52 Å³/atom

abc: 4.224 4.224 8.246
angles: 90.01 90.00 90.00
Atoms (fractional coordinates):
1 Ac 0.523 0.338 0.359
2 Ac 0.023 0.838 0.687
3 Mg 0.523 0.838 0.023
4 Mg 0.023 0.338 0.023
5 Rh 0.523 0.338 0.787
6 Rh 0.023 0.838 0.260

No. 5
The following is a PBE calculation of a relaxed ScCrFe crystal, from Alexandria.

- Space group: No. 74
- DFT formation energy: -9 kJ per mole of atoms
- Size of the total moment: 0.233 μB per atom
- Calculated volume: 14.26 Å³/atom

abc: 4.794 4.953 4.953
angles: 61.71 61.06 61.06
Last column: magnetic moment on the atom in μB.
Atoms (fractional coordinates):
1 Sc 0.876 0.374 0.374  -0.14
2 Sc 0.124 0.626 0.626  -0.14
3 Fe 0.500 0.000 0.500  1.22
4 Fe 0.500 0.500 0.000  1.22
5 Cr 0.500 0.000 0.000  -0.28
6 Cr 0.000 0.000 0.000  -0.28

No. 6
The following is a PBE calculation of a relaxed SrLi2SnSe4 crystal, from Alexandria.

- Space group: No. 74
- Size of the total moment: 0.000 μB per atom
- ΔE_f (raw): -8.19 eV per formula unit
- Calculated volume: 24.42 Å³/atom

abc: 8.216 8.216 8.317
angles: 120.39 120.39 90.41
Atoms (fractional coordinates):
1 Se 0.261 0.238 0.495
2 Se 0.746 0.208 0.978
3 Se 0.739 0.762 0.505
4 Se 0.738 0.761 0.995
5 Se 0.292 0.754 0.522
6 Se 0.708 0.246 0.478
7 Se 0.254 0.792 0.022
8 Se 0.262 0.239 0.005
9 Li 0.000 0.000 0.500
10 Li 0.500 0.000 0.000
11 Li 0.500 0.500 0.000
12 Li 0.500 0.000 0.500
13 Sn 0.000 0.000 0.000
14 Sn 0.500 0.500 0.500
15 Sr 0.000 0.500 0.500
16 Sr 0.000 0.500 0.000

No. 7
The following is a PBE calculation of a relaxed YV3Ru crystal, from Alexandria.

- Space group: No. 221
- DFT formation energy: 57 kJ per mole of atoms
- Size of the total moment: 0.940 μB per atom
- Calculated volume: 20.33 Å³/atom

abc: 4.667 4.667 4.667
angles: 90.00 90.00 90.00
Last column: magnetic moment on the atom in μB.
Atoms (fractional coordinates):
1 Ru 0.000 0.000 0.000  -0.21
2 V 0.500 0.000 0.000  1.36
3 V 0.000 0.000 0.500  1.36
4 V 0.000 0.500 0.000  1.36
5 Y 0.500 0.500 0.500  0.15

No. 8
The following is a PBE calculation of a relaxed MgTc3Pb crystal, from Alexandria.

- Space group: No. 221
- DFT formation energy: 170 kJ per mole of atoms
- Size of the total moment: 0.935 μB per atom
- Calculated volume: 19.81 Å³/atom

abc: 4.627 4.627 4.627
angles: 90.00 90.00 90.00
Last column: magnetic moment on the atom in μB.
Atoms (fractional coordinates):
1 Tc 0.000 0.500 0.000  1.39
2 Tc 0.500 0.000 0.000  1.14
3 Tc 0.000 0.000 0.500  1.76
4 Pb 0.500 0.500 0.500  -0.05
5 Mg 0.000 0.000 0.000  -0.01